# VMo2Pt

A relaxed VMo2Pt crystal (PBE-GGA, Alexandria via LeMat-Bulk).

Properties
Energy relative to the lowest polymorph listed for this composition in eV/atom: 0.559
Total energy in eV per atom: -8.7999

Cell and atoms, written as extended XYZ:
```
8
Lattice="-1.8538 1.8538 9.6249 1.8538 -1.8538 9.6249 1.8538 1.8538 -9.6249" Properties=species:S:1:pos:R:3 pbc="T T T"
V 0.0000 0.0000 0.0000
V 0.0000 1.8538 4.8124
Mo 2.7807 0.8589 -2.4062
Mo 0.8589 0.9269 2.4062
Mo -0.9269 0.9949 7.2186
Mo 0.9949 0.9269 12.0311
Pt 1.8538 0.0000 4.8124
Pt 0.0000 0.0000 9.6249
```